Compound: Ca2LaZn
Source: Alexandria
Functional: PBE
Structure: optimized geometry

Structure (extended XYZ):
```
4
Lattice="-2.415 2.415 5.520 2.415 -2.415 5.520 2.415 2.415 -5.520" Properties=species:S:1:pos:R:3 pbc="T T T"
Ca 2.415 0.000 2.760
Ca 0.000 2.415 2.760
La 0.000 0.000 0.000
Zn 0.000 0.000 5.520
```

Properties
The crystal system is tetragonal. Its space group is No. 139. The total energy comes out at -9.9 eV for the cell shown.

=====

Compound: Pm2Zn3PdAu4
Source: Alexandria
Functional: PBE
Structure: optimized geometry

Structure (extended XYZ):
```
10
Lattice="4.127 0.000 0.000 0.000 4.127 0.000 0.000 0.000 11.970" Properties=species:S:1:pos:R:3 pbc="T T T"
Pm 0.000 2.063 2.940
Pm 2.063 0.000 9.030
Zn 0.000 0.000 0.000
Zn 0.000 2.063 7.608
Zn 2.063 0.000 4.362
Pd 2.063 2.063 0.000
Au 0.000 0.000 5.985
Au 0.000 2.063 10.155
Au 2.063 0.000 1.815
Au 2.063 2.063 5.985
```

Properties
The crystal system is tetragonal. Its space group is No. 115. The total energy comes out at -36.8 eV for the cell shown.

=====

Compound: RbZr2Cl8
Source: Alexandria
Functional: PBE
Structure: optimized geometry

Structure (extended XYZ):
```
11
Lattice="7.125 -3.666 0.000 7.125 3.666 0.000 -2.729 0.000 8.107" Properties=species:S:1:pos:R:3 pbc="T T T"
Rb 0.000 0.000 0.000
Zr 1.093 0.000 5.601
Zr 10.428 0.000 2.505
Cl 4.666 1.854 1.779
Cl 1.408 0.000 3.218
Cl 6.855 1.854 6.328
Cl 3.240 0.000 6.626
Cl 8.281 0.000 1.481
Cl 4.666 -1.854 1.779
Cl 10.113 0.000 4.889
Cl 6.855 -1.854 6.328
```

Properties
The crystal system is monoclinic. Its space group is No. 12. The raw formation energy is -1680 meV/atom. The value obtained for the energy above the lowest structure with this stoichiometry is 30 meV/atom.

=====

Compound: KGeSb3
Source: Alexandria
Functional: PBE
Structure: optimized geometry

Structure (extended XYZ):
```
20
Lattice="9.693 0.000 0.000 0.000 6.518 0.000 -7.961 0.000 10.163" Properties=species:S:1:pos:R:3 pbc="T T T"
K -0.051 0.972 3.117
K -4.032 2.287 8.198
K 5.763 4.231 1.965
K 1.783 5.546 7.046
Ge 1.939 3.354 0.876
Ge -2.042 6.423 5.957
Ge 3.773 0.095 4.206
Ge -0.207 3.164 9.287
Sb -4.317 4.655 5.596
Sb -0.336 5.122 0.515
Sb -0.956 4.173 4.453
Sb -4.937 5.604 9.534
Sb 1.903 4.190 3.570
Sb -2.077 5.587 8.651
Sb 3.809 0.931 1.512
Sb -0.172 2.328 6.593
Sb 6.668 0.914 0.629
Sb 2.688 2.345 5.710
Sb 2.068 1.396 9.648
Sb 6.048 1.863 4.567
```

Properties
The crystal system is monoclinic. Its space group is No. 14. The raw formation energy is -56 meV/atom. The value obtained for the energy above the lowest structure with this stoichiometry is 0 meV/atom.

=====

Compound: BeB4
Source: Alexandria
Functional: PBE
Structure: optimized geometry

Structure (extended XYZ):
```
10
Lattice="2.435 -4.153 0.000 2.435 4.153 0.000 -2.319 0.000 3.826" Properties=species:S:1:pos:R:3 pbc="T T T"
Be 0.696 4.082 2.869
Be 1.855 -4.082 0.956
B 1.079 1.272 0.518
B 0.090 1.385 3.420
B 1.301 1.385 2.319
B -0.081 -1.272 2.431
B 2.632 1.272 1.395
B 1.250 -1.385 1.507
B 2.461 -1.385 0.406
B 1.472 -1.272 3.308
```

Properties
The crystal system is monoclinic. Its space group is No. 15. The value obtained for the energy above the lowest structure with this stoichiometry is 0 meV/atom.

=====

Compound: CuBi2PbS4
Source: Alexandria
Functional: PBE
Structure: optimized geometry

Structure (extended XYZ):
```
16
Lattice="1.907 -7.154 0.000 1.907 7.154 0.000 0.000 0.000 14.042" Properties=species:S:1:pos:R:3 pbc="T T T"
Cu 1.907 4.771 10.532
Cu 1.907 -4.771 3.511
Bi 1.907 1.949 0.825
Bi 1.907 1.949 6.197
Bi 1.907 -1.949 7.846
Bi 1.907 -1.949 13.218
Pb 1.907 5.596 3.511
Pb 1.907 -5.596 10.532
S 0.000 0.000 0.000
S 0.000 0.000 7.021
S 1.907 3.102 8.797
S 1.907 3.102 12.266
S 1.907 1.010 3.511
S 1.907 -1.010 10.532
S 1.907 -3.102 1.776
S 1.907 -3.102 5.245
```

Properties
The crystal system is orthorhombic. Its space group is No. 63. The raw formation energy is -258 meV/atom.

=====

Compound: ZrB3P
Source: Alexandria
Functional: PBE
Structure: optimized geometry

Structure (extended XYZ):
```
5
Lattice="4.455 0.000 0.000 0.000 4.455 0.000 0.000 0.000 4.455" Properties=species:S:1:pos:R:3 pbc="T T T"
Zr 0.000 0.000 0.000
B 0.000 0.000 2.227
B 0.000 2.227 0.000
B 2.227 0.000 0.000
P 2.227 2.227 2.227
```

Properties
The crystal system is cubic. Its space group is No. 221. The value obtained for the energy above the lowest structure with this stoichiometry is 1293 meV/atom.

=====

Compound: MgRh2O6
Source: Alexandria
Functional: PBE
Structure: optimized geometry

Structure (extended XYZ):
```
9
Lattice="5.140 0.000 0.000 -2.570 4.451 0.000 0.000 0.000 4.457" Properties=species:S:1:pos:R:3 pbc="T T T"
Mg 0.000 0.000 0.000
Rh 0.000 2.967 2.228
Rh 2.570 1.484 2.228
O -0.899 1.558 3.290
O -1.670 2.893 1.166
O 1.799 0.000 3.290
O 0.899 1.558 1.166
O 3.341 0.000 1.166
O 1.670 2.893 3.290
```

Properties
The crystal system is trigonal. Its space group is No. 162. The raw formation energy is -983 meV/atom.

=====

Compound: ZnCdCu3
Source: Alexandria
Functional: PBE
Structure: optimized geometry

Structure (extended XYZ):
```
5
Lattice="4.818 0.000 0.000 0.000 4.818 0.000 0.000 0.000 4.818" Properties=species:S:1:pos:R:3 pbc="T T T"
Zn 0.000 0.000 0.000
Cd 2.409 2.409 2.409
Cu 0.000 2.409 2.409
Cu 2.409 0.000 2.409
Cu 2.409 2.409 0.000
```

Properties
The crystal system is cubic. Its space group is No. 221. The value obtained for the energy above the lowest structure with this stoichiometry is 418 meV/atom.

=====

Compound: CaCu3Pd
Source: Alexandria
Functional: PBE
Structure: optimized geometry

Structure (extended XYZ):
```
5
Lattice="4.729 0.000 0.000 0.000 4.729 0.000 0.000 0.000 4.729" Properties=species:S:1:pos:R:3 pbc="T T T"
Ca 0.000 0.000 0.000
Cu 0.000 2.364 2.364
Cu 2.364 0.000 2.364
Cu 2.364 2.364 0.000
Pd 2.364 2.364 2.364
```

Properties
The crystal system is cubic. Its space group is No. 221. The value obtained for the energy above the lowest structure with this stoichiometry is 0 meV/atom.

=====

Compound: Y3Ir5
Source: Alexandria
Functional: PBE
Structure: optimized geometry

Structure (extended XYZ):
```
8
Lattice="3.875 -4.350 0.000 3.875 4.350 0.000 0.000 0.000 4.367" Properties=species:S:1:pos:R:3 pbc="T T T"
Y 0.000 0.000 0.000
Y 3.875 1.940 2.184
Y 3.875 -1.940 2.184
Ir 1.938 2.175 0.000
Ir 1.878 0.000 2.184
Ir 1.938 -2.175 0.000
Ir 3.875 0.000 0.000
Ir 5.872 0.000 2.184
```

Properties
The crystal system is orthorhombic. Its space group is No. 65. The value obtained for the energy above the lowest structure with this stoichiometry is 0 meV/atom.

=====

Compound: Tb7SmTm3
Source: Alexandria
Functional: PBE
Structure: optimized geometry

Structure (extended XYZ):
```
11
Lattice="7.053 0.000 0.000 -3.527 6.108 0.000 0.000 0.000 8.556" Properties=species:S:1:pos:R:3 pbc="T T T"
Tb 0.000 0.000 0.000
Tb 0.000 2.019 5.720
Tb -1.778 5.099 5.720
Tb 3.527 0.016 0.059
Tb 1.777 3.046 0.059
Tb 1.778 5.099 5.720
Tb 5.276 3.046 0.059
Sm 3.527 2.036 5.783
Tm 1.760 1.016 2.882
Tm 5.293 1.016 2.882
Tm 3.527 4.076 2.882
```

Properties
The crystal system is trigonal. Its space group is No. 156. The value obtained for the energy above the lowest structure with this stoichiometry is 56 meV/atom.

=====

Compound: MnAgSb2Te
Source: Alexandria
Functional: PBE
Structure: optimized geometry

Structure (extended XYZ):
```
5
Lattice="4.924 0.000 0.000 0.000 4.924 0.000 0.000 0.000 5.188" Properties=species:S:1:pos:R:3 pbc="T T T"
Mn 0.000 0.000 0.000
Ag 2.462 2.462 2.594
Sb 0.000 2.462 0.000
Sb 2.462 0.000 0.000
Te 0.000 0.000 2.594
```

Properties
The crystal system is tetragonal. Its space group is No. 123. The raw formation energy is 466 meV/atom. The value obtained for the energy above the lowest structure with this stoichiometry is 0 meV/atom.

=====

Compound: YRe2
Source: Alexandria
Functional: PBE
Structure: optimized geometry

Structure (extended XYZ):
```
3
Lattice="-1.563 1.563 5.907 1.563 -1.563 5.907 1.563 1.563 -5.907" Properties=species:S:1:pos:R:3 pbc="T T T"
Y 0.000 0.000 0.000
Re 0.000 0.000 3.617
Re 0.000 0.000 8.197
```

Properties
The crystal system is tetragonal. Its space group is No. 139. The total energy comes out at -31.0 eV for the cell shown.

=====

Compound: CaSiH
Source: Alexandria
Functional: PBE
Structure: optimized geometry

Structure (extended XYZ):
```
6
Lattice="1.917 1.107 8.386 -1.917 1.107 8.386 0.000 -2.214 8.386" Properties=species:S:1:pos:R:3 pbc="T T T"
Ca 0.000 0.000 5.751
Ca 0.000 0.000 19.408
Si 0.000 0.000 8.873
Si 0.000 0.000 16.286
H 0.000 0.000 3.394
H 0.000 0.000 21.765
```

Properties
The crystal system is trigonal. Its space group is No. 166. The value obtained for the energy above the lowest structure with this stoichiometry is 0 meV/atom.

=====

Compound: Ca2LaRe
Source: Alexandria
Functional: PBE
Structure: optimized geometry

Structure (extended XYZ):
```
4
Lattice="-1.715 2.412 7.866 1.715 -2.412 7.866 1.715 2.412 -7.866" Properties=species:S:1:pos:R:3 pbc="T T T"
Ca 0.000 0.000 2.590
Ca 0.000 0.000 13.143
La 0.000 2.412 0.000
Re 1.715 0.000 0.000
```

Properties
The crystal system is orthorhombic. Its space group is No. 71. The value obtained for the energy above the lowest structure with this stoichiometry is 31 meV/atom.

=====

Compound: Cr2RuPb
Source: Alexandria
Functional: PBE
Structure: optimized geometry

Structure (extended XYZ):
```
4
Lattice="1.488 0.859 8.448 -1.488 0.859 8.448 0.000 -1.718 8.448" Properties=species:S:1:pos:R:3 pbc="T T T"
Cr 0.000 0.000 0.000
Cr 0.000 0.000 6.884
Ru 0.000 0.000 13.445
Pb 0.000 0.000 19.444
```

Properties
The crystal system is trigonal. Its space group is No. 160. The total energy comes out at -29.7 eV for the cell shown.